(1)
RbMgNbPd | OQMD via LeMat-Bulk | PBE-GGA | optimized geometry; excess energy over the best structure of this formula in the dataset = 0.0 meV/atom
1.0
0.000 3.467 3.467
3.467 0.000 3.467
3.467 3.467 0.000
Rb Mg Nb Pd
1 1 1 1
direct
0.000 0.000 0.000
0.750 0.750 0.750
0.250 0.250 0.250
0.500 0.500 0.500

***

(2)
Dy2SnPb | OQMD via LeMat-Bulk | PBE-GGA | optimized geometry; electronic total energy = -4.0845 eV per atom
1.0
3.359 0.000 0.000
0.000 3.122 6.219
0.000 -3.122 6.219
Dy Sn Pb
2 1 1
direct
0.000 0.000 0.000
0.000 0.277 0.277
0.000 0.518 0.518
0.000 0.752 0.752